The following is a PBEsol calculation of an optimized crystal structure of TaAlCr2, from the Alexandria database.

- Calculated total energy: -36.4 eV per cell
- Calculated volume: 56 Å³ per cell
- ΔH_f (0 K): 179.1 meV per atom

a = 4.2849 Å, b = 4.2849 Å, c = 4.2849 Å
α = 60.00°, β = 60.00°, γ = 60.00°
With the nearest neighbours (Å) after each atom.
Sites, in units of the cell vectors:
Ta 0.0000 0.0000 0.0000  4 Cr 2.62, 4 Al 2.62
Al 0.2500 0.2500 0.2500  4 Cr 2.62, 4 Ta 2.62
Cr 0.5000 0.5000 0.5000  4 Cr 2.62, 4 Al 2.62
Cr 0.7500 0.7500 0.7500  4 Ta 2.62, 4 Cr 2.62